Entry 1:
Entry from Alexandria: an optimized crystal structure of Ce2Zn2Si (PBE).

Output
- Space-group type: I4/mmm, No. 139
- Formation energy without anion corrections: -183 meV/atom

Lattice parameters (Å, degrees): 3.7058 3.7058 8.8221 102.12 102.12 90.00
Last column: nearest neighbours and their distance in Å.
Sites, in units of the cell vectors:
Zn 0.2500 0.7500 0.5000  4 Zn 2.62
Zn 0.7500 0.2500 0.5000  4 Zn 2.62
Ce 0.4133 0.4133 0.8267  1 Ce 2.92, 4 Si 3.00
Ce 0.5867 0.5867 0.1733  1 Ce 2.92, 4 Si 3.00
Si 0.0000 0.0000 0.0000  8 Ce 3.00



Entry 2:
Entry from Alexandria: an optimized crystal structure of Na2Pm3YS6 (PBE).

Output
- Space-group type: C2/m, No. 12
- Formation energy without anion corrections: -1879 meV/atom

Lattice parameters (Å, degrees): 6.9636 6.9636 6.9628 99.57 99.57 119.94
Last column: nearest neighbours and their distance in Å.
Sites, in units of the cell vectors:
Y 0.0000 0.0000 0.0000  6 S 2.79-2.80
Pm 0.1701 0.8299 0.5000  6 S 2.84-2.87
Pm 0.8299 0.1701 0.5000  6 S 2.84-2.87
Pm 0.5000 0.5000 0.5000  6 S 2.84-2.88
S 0.7589 0.7589 0.2518  1 Y 2.80, 3 Pm 2.84-2.88, 2 Na 2.87
S 0.5918 0.9176 0.7531  1 Y 2.79, 3 Pm 2.84-2.87, 2 Na 2.85-2.86
S 0.9176 0.5918 0.7531  1 Y 2.79, 3 Pm 2.84-2.87, 2 Na 2.85-2.86
S 0.4082 0.0824 0.2469  1 Y 2.79, 3 Pm 2.84-2.87, 2 Na 2.85-2.86
S 0.0824 0.4082 0.2469  1 Y 2.79, 3 Pm 2.84-2.87, 2 Na 2.85-2.86
S 0.2411 0.2411 0.7482  1 Y 2.80, 3 Pm 2.84-2.88, 2 Na 2.87
Na 0.3342 0.6658 0.0000  6 S 2.85-2.87
Na 0.6658 0.3342 0.0000  6 S 2.85-2.87



Entry 3:
Entry from Alexandria: an optimized crystal structure of Pr3Er12Tl (PBE).

Output
- Space-group type: P4/mmm, No. 123
- ΔE_f: -0.2 eV per formula unit

Lattice parameters (Å, degrees): 4.9629 4.9629 20.1022 90.00 90.00 90.00
Last column: nearest neighbours and their distance in Å.
Sites, in units of the cell vectors:
Er 0.0000 0.5000 0.1198  8 Er 3.46-3.51, 2 Tl 3.46, 2 Pr 3.58
Er 0.5000 0.5000 0.2425  8 Er 3.50-3.61, 4 Pr 3.51
Er 0.5000 0.5000 0.7575  8 Er 3.50-3.61, 4 Pr 3.51
Er 0.5000 0.0000 0.3731  8 Er 3.51-3.61, 4 Pr 3.53-3.56
Er 0.5000 0.0000 0.6269  8 Er 3.51-3.61, 4 Pr 3.53-3.56
Er 0.0000 0.5000 0.6269  8 Er 3.51-3.61, 4 Pr 3.53-3.56
Er 0.0000 0.5000 0.3731  8 Er 3.51-3.61, 4 Pr 3.53-3.56
Er 0.5000 0.0000 0.1198  2 Tl 3.46, 8 Er 3.46-3.51, 2 Pr 3.58
Er 0.5000 0.5000 0.0000  8 Er 3.46, 4 Tl 3.51
Er 0.5000 0.0000 0.8802  2 Tl 3.46, 8 Er 3.46-3.51, 2 Pr 3.58
Er 0.0000 0.5000 0.8802  2 Tl 3.46, 8 Er 3.46-3.51, 2 Pr 3.58
Er 0.5000 0.5000 0.5000  4 Pr 3.51, 8 Er 3.56
Pr 0.0000 0.0000 0.7517  12 Er 3.51-3.58
Pr 0.0000 0.0000 0.5000  12 Er 3.51-3.56
Pr 0.0000 0.0000 0.2483  12 Er 3.51-3.58
Tl 0.0000 0.0000 0.0000  12 Er 3.46-3.51



Entry 4:
Entry from Alexandria: an optimized crystal structure of AlTl2Ga4 (PBE).

Output
- Space-group type: I4/mmm, No. 139
- ΔE_f: 2.0 eV per formula unit

Lattice parameters (Å, degrees): 5.0667 5.0667 8.1766 71.95 71.95 90.00
Last column: nearest neighbours and their distance in Å.
Sites, in units of the cell vectors:
Al 0.0000 0.0000 0.0000  6 Ga 2.53-2.60
Ga 0.5000 0.0000 0.0000  2 Al 2.53
Ga 0.1768 0.1768 0.6464  1 Al 2.60, 1 Tl 2.87
Ga 0.0000 0.5000 0.0000  2 Al 2.53
Ga 0.8232 0.8232 0.3536  1 Al 2.60, 1 Tl 2.87
Tl 0.6279 0.6279 0.7442  5 Ga 2.87-3.15
Tl 0.3721 0.3721 0.2558  5 Ga 2.87-3.15



Entry 5:
Entry from Alexandria: an optimized crystal structure of BC5 (PBE).

Output
- Space-group type: P-1, No. 2
- ΔE_f: 1.7 eV per formula unit

Lattice parameters (Å, degrees): 4.4828 4.4409 5.1858 106.99 106.73 48.22
Last column: nearest neighbours and their distance in Å.
Sites, in units of the cell vectors:
C 0.5893 0.0870 0.4284  3 C 1.54-1.61, 1 B 1.58
C 0.9047 0.4265 0.0807  3 C 1.56-1.61, 1 B 1.57
C 0.3338 0.3322 0.6671  4 C 1.54-1.57
C 0.6622 0.6666 0.8306  4 C 1.57-1.59
C 0.9212 0.4168 0.5860  4 C 1.57-1.59
C 0.2495 0.7512 0.7495  4 C 1.54-1.57
C 0.9962 0.9992 0.5086  3 C 1.54-1.59, 1 B 1.56
C 0.9940 0.9963 0.9882  3 C 1.54-1.61, 1 B 1.58
C 0.6787 0.6568 0.3360  3 C 1.56-1.61, 1 B 1.57
C 0.5872 0.0842 0.9080  3 C 1.54-1.59, 1 B 1.56
B 0.2355 0.8132 0.2639  3 C 1.56-1.58
B 0.3478 0.2701 0.1527  3 C 1.56-1.58



Entry 6:
Entry from Alexandria: an optimized crystal structure of Pm3Er3TmS8 (PBE).

Output
- Space-group type: R-3m, No. 166
- Formation energy without anion corrections: -2048 meV/atom

Lattice parameters (Å, degrees): 7.8325 7.8323 7.9166 119.65 90.00 120.00
Last column: nearest neighbours and their distance in Å.
Sites, in units of the cell vectors:
Er 0.0000 0.5000 0.5000  6 S 2.73
Er 0.5000 0.0000 0.5000  6 S 2.73
Er 0.5000 0.5000 0.5000  6 S 2.73
S 0.7542 0.5084 0.2643  2 Er 2.73, 1 Tm 2.74, 2 Pm 2.84
S 0.7449 0.4898 0.7347  3 Er 2.73, 3 Pm 2.84
S 0.2551 0.5102 0.2653  3 Er 2.73, 3 Pm 2.84
S 0.2558 0.0100 0.2643  2 Er 2.73, 1 Tm 2.74, 2 Pm 2.84
S 0.7542 0.0101 0.2643  2 Er 2.73, 1 Tm 2.74, 2 Pm 2.84
S 0.2458 0.4916 0.7357  2 Er 2.73, 1 Tm 2.74, 2 Pm 2.84
S 0.7442 0.9900 0.7357  2 Er 2.73, 1 Tm 2.74, 2 Pm 2.84
S 0.2458 0.9899 0.7357  2 Er 2.73, 1 Tm 2.74, 2 Pm 2.84
Pm 0.0000 0.0000 0.0000  6 S 2.84
Pm 0.0000 0.5000 0.0000  6 S 2.84
Pm 0.5000 0.5000 0.0000  6 S 2.84
Tm 0.0000 0.0000 0.5000  6 S 2.74



Entry 7:
Entry from Alexandria: an optimized crystal structure of LiCdTeMoBr (PBE).

Output
- Space-group type: P1, No. 1
- Formation energy without anion corrections: -151 meV/atom

Lattice parameters (Å, degrees): 3.3952 4.9428 9.0867 75.07 79.25 69.90
Last column: nearest neighbours and their distance in Å.
Sites, in units of the cell vectors:
Te 0.2310 0.3965 0.5984  3 Mo 2.63-2.65
Li 0.4252 0.7485 0.8679  2 Br 2.52
Cd 0.5880 0.9578 0.3207  1 Br 2.73, 2 Mo 2.83
Mo 0.9539 0.9763 0.5724  3 Te 2.63-2.65, 2 Cd 2.83
Br 0.7352 0.9831 0.0129  2 Li 2.52, 1 Cd 2.73



Entry 8:
Entry from Alexandria: an optimized crystal structure of Zr2SnBi (PBE).

Output
- Space-group type: R-3m, No. 166
- ΔE_f: -1.1 eV per formula unit

Lattice parameters (Å, degrees): 4.1672 4.1672 7.3391 73.51 73.51 60.00
Last column: nearest neighbours and their distance in Å.
Sites, in units of the cell vectors:
Sn 0.5000 0.5000 0.5000  6 Zr 2.91
Zr 0.2451 0.2451 0.2648  3 Sn 2.91, 3 Bi 3.03
Zr 0.7549 0.7549 0.7352  3 Sn 2.91, 3 Bi 3.03
Bi 0.0000 0.0000 0.0000  6 Zr 3.03



Entry 9:
Entry from Alexandria: an optimized crystal structure of BaGe2Pd3 (PBE).

Output
- Space-group type: C2/m, No. 12
- ΔE_f: -3.7 eV per formula unit

Lattice parameters (Å, degrees): 4.2597 8.3506 7.9128 112.92 90.00 104.78
Last column: nearest neighbours and their distance in Å.
Sites, in units of the cell vectors:
Pd 0.9635 0.9269 0.6411  3 Ge 2.48-2.50
Pd 0.3182 0.6364 0.5687  4 Ge 2.54-2.72, 1 Pd 2.79
Pd 0.6818 0.3636 0.4313  4 Ge 2.54-2.72, 1 Pd 2.79
Pd 0.0365 0.0731 0.3589  3 Ge 2.48-2.50
Pd 0.5912 0.1824 0.6654  3 Ge 2.51-2.60, 1 Pd 2.79
Pd 0.4088 0.8176 0.3346  3 Ge 2.51-2.60, 1 Pd 2.79
Ge 0.1785 0.3570 0.6418  6 Pd 2.48-2.72
Ge 0.5187 0.0374 0.1824  4 Pd 2.50-2.58, 1 Ge 2.70
Ge 0.4813 0.9626 0.8176  4 Pd 2.50-2.58, 1 Ge 2.70
Ge 0.8215 0.6430 0.3582  6 Pd 2.48-2.72
Ba 0.1586 0.3171 0.0716  7 Ge 3.43-3.54, 8 Pd 3.45-3.73
Ba 0.8414 0.6829 0.9284  7 Ge 3.43-3.54, 8 Pd 3.45-3.73



Entry 10:
Entry from Alexandria: an optimized crystal structure of PdRhNF2 (PBE).

Output
- Space-group type: P4/mmm, No. 123
- Formation energy without anion corrections: 7 meV/atom

Lattice parameters (Å, degrees): 4.2628 4.2628 3.7185 90.00 90.00 90.00
Last column: nearest neighbours and their distance in Å.
Sites, in units of the cell vectors:
F 0.0000 0.5000 0.0000  2 Rh 2.13
F 0.5000 0.0000 0.0000  2 Rh 2.13
N 0.0000 0.0000 0.5000  2 Rh 1.86
Rh 0.0000 0.0000 0.0000  2 N 1.86
Pd 0.5000 0.5000 0.5000  8 F 2.83, 4 N 3.01



Entry 11:
Entry from Alexandria: an optimized crystal structure of Y2ReSe (PBE).

Output
- Space-group type: Pmm2, No. 25
- Formation energy without anion corrections: -296 meV/atom

Lattice parameters (Å, degrees): 3.6800 4.4954 5.7913 90.00 90.00 90.00
Last column: nearest neighbours and their distance in Å.
Sites, in units of the cell vectors:
Y 0.0000 0.0000 0.9066  2 Re 2.74-3.05, 4 Se 2.92
Y 0.5000 0.5000 0.3574  2 Se 2.89-2.90, 4 Re 2.91
Se 0.5000 0.5000 0.8563  6 Y 2.89-2.92
Re 0.0000 0.0000 0.3797  6 Y 2.74-3.05



Entry 12:
Entry from Alexandria: an optimized crystal structure of Tb7Y3Th (PBE).

Output
- Space-group type: P3m1, No. 156
- ΔE_f: 2.1 eV per formula unit

Lattice parameters (Å, degrees): 8.6716 7.0734 7.0734 120.00 90.00 90.00
Last column: nearest neighbours and their distance in Å.
Sites, in units of the cell vectors:
Y 0.7811 0.4986 0.9973  4 Y 3.51-3.57, 1 Th 3.53, 5 Tb 3.54-3.57
Y 0.7811 0.0027 0.5014  4 Y 3.51-3.57, 1 Th 3.53, 5 Tb 3.54-3.57
Y 0.7811 0.4986 0.5014  4 Y 3.51-3.57, 1 Th 3.53, 5 Tb 3.54-3.57
Tb 0.1211 0.1699 0.3397  8 Tb 3.47-3.60, 1 Th 3.47, 2 Y 3.57
Tb 0.4481 0.3361 0.1680  7 Tb 3.51-3.57, 2 Th 3.54, 2 Y 3.54
Tb 0.1211 0.6603 0.8301  8 Tb 3.47-3.60, 1 Th 3.47, 2 Y 3.57
Tb 0.4481 0.8320 0.1680  7 Tb 3.51-3.57, 2 Th 3.54, 2 Y 3.54
Tb 0.1211 0.1699 0.8301  8 Tb 3.47-3.60, 1 Th 3.47, 2 Y 3.57
Tb 0.4481 0.8320 0.6639  7 Tb 3.51-3.57, 2 Th 3.54, 2 Y 3.54
Tb 0.1166 0.6667 0.3333  9 Tb 3.52-3.54, 3 Y 3.56
Th 0.4479 0.3333 0.6667  9 Tb 3.47-3.54, 3 Y 3.53



Number 1: energy -20.76 eV per cell, theoretical density 6.3 g/cm³. Number 2: energy -70.66 eV per cell, theoretical density 4.6 g/cm³. Number 3: energy -71.67 eV per cell, theoretical density 8.8 g/cm³. Number 4: energy -18.60 eV per cell, theoretical density 6.3 g/cm³. Number 5: energy -102.20 eV per cell, theoretical density 3.2 g/cm³. Number 6: energy -96.15 eV per cell, theoretical density 6.6 g/cm³. Number 7: energy -19.23 eV per cell, theoretical density 5.1 g/cm³. Number 8: energy -26.07 eV per cell, theoretical density 8.1 g/cm³. Number 9: energy -60.82 eV per cell, theoretical density 8.0 g/cm³. Number 10: energy -24.58 eV per cell, theoretical density 6.4 g/cm³. Number 11: energy -30.05 eV per cell, theoretical density 7.7 g/cm³. Number 12: energy -57.15 eV per cell, theoretical density 7.1 g/cm³.